Entry 1:
A relaxed La2ReAu crystal, computed with GGA-PBE.

Unit cell a=3.948 b=4.699 c=5.894 alpha=90.00 beta=109.49 gamma=90.00
Space group Pm (No. 6)
Inequivalent atoms, fractional coordinates:
La 0.000 0.000 0.000 [1 per cell]
La 0.283 0.500 0.568 [1 per cell]
Re 0.560 0.500 0.118 [1 per cell]
Au 0.717 0.000 0.435 [1 per cell]

Relative energy among the computed polymorphs (meV per atom): 99.2
DFT formation energy (eV/atom): -0.070

Entry 2:
A relaxed Ba2PmTlHg6 crystal, computed with GGA-PBE.

Unit cell a=11.596 b=11.596 c=11.596 alpha=90.00 beta=90.00 gamma=90.00
Space group Fm-3m (No. 225)
Inequivalent atoms, fractional coordinates:
Ba 0.250 0.250 0.250 [8 per cell]
Pm 0.000 0.000 0.000 [4 per cell]
Tl 0.000 0.000 0.500 [4 per cell]
Hg 0.000 0.000 0.253 [24 per cell]

DFT formation energy (eV/atom): -0.149

Entry 3:
A relaxed KRbCuH2 crystal, computed with GGA-PBE.

Unit cell a=4.673 b=4.673 c=5.264 alpha=90.00 beta=90.00 gamma=90.00
Space group P4/mmm (No. 123)
Inequivalent atoms, fractional coordinates:
K 0.000 0.000 0.000 [1 per cell]
Rb 0.500 0.500 0.000 [1 per cell]
Cu 0.000 0.000 0.500 [1 per cell]
H 0.000 0.500 0.500 [2 per cell]

Number 1: electronic total energy -0.238 Ha/atom. Number 2: electronic total energy -0.052 Ha/atom. Number 3: electronic total energy -0.070 Ha/atom.